The following is a DFT calculation (PBE) of an optimized crystal structure of KSrIn.

Results
For the energy relative to the lowest polymorph listed for this composition, the calculation gives 157.7 meV per atom. Its space-group type is F-43m, No. 216.

Cell and atoms, written as POSCAR:
```
KSrIn
1.0
0.000 4.170 4.170
4.170 0.000 4.170
4.170 4.170 0.000
K Sr In
1 1 1
direct
0.000 0.000 0.000
0.500 0.500 0.500
0.750 0.750 0.750
```

---

The following is a DFT calculation (PBE) of an optimized crystal structure of ZrInW2.

Results
Its space-group type is R3m, No. 160.

Cell and atoms, written as POSCAR:
```
ZrInW2
1.0
1.463 0.845 10.185
-1.463 0.845 10.185
0.000 -1.689 10.185
Zr In W
1 1 2
direct
0.000 0.000 0.000
0.756 0.756 0.756
0.248 0.248 0.248
0.504 0.504 0.504
```

---

Across the entries above, total moment takes the values 0.453, 0.000 μB per atom, respectively.
Across the entries above, total DFT energy (no corrections) takes the values -5.42, -35.36 eV per cell, respectively.
Across the entries above, formation enthalpy at 0 K takes the values 33.7, 457.1 meV per atom, respectively.